VASP calculation (PBE) on an optimized crystal structure of ZrTlIr2.

The calculation puts the total magnetization at 0.000 μB per formula unit. As for the crystal system: tetragonal. The calculated volume comes out at 74.0 Å³ per cell. For the density, the calculation gives 15267 kg/m3. The value obtained for the final energy is -0.542 Ry/atom.

The structure belongs to space group P4/mmm (No. 123); the cell edges are 3.135, 3.135 and 7.524 Å and the angles 90.00°, 90.00° and 90.00°. The inequivalent atoms are Zr at (0.000, 0.000, 0.000), Tl at (0.000, 0.000, 0.500) and Ir at (0.500, 0.500, 0.232).